No. 1
CsMgTeI2 at its PBEsol-relaxed geometry, computed with meta-GGA SCAN.

Cell and atoms, written as CIF:
```
data_CsMgTeI2
_space_group_name_H-M_alt 'P 4/m m m'
_space_group_IT_number 123
_space_group_name_Hall '-P 4 2'
_cell_length_a 6.842
_cell_length_b 6.842
_cell_length_c 6.309
_cell_angle_alpha 90.00
_cell_angle_beta 90.00
_cell_angle_gamma 90.00
loop_
_atom_site_label
_atom_site_type_symbol
_atom_site_fract_x
_atom_site_fract_y
_atom_site_fract_z
Cs1 Cs 0.000 0.000 0.000
Mg1 Mg 0.500 0.500 0.500
Te1 Te 0.000 0.000 0.500
I1 I 0.000 0.500 0.000
```

## Properties
For the calculated density, the calculation gives 3.0 g/cm3. Its crystal system is tetragonal. For the density of states at the Fermi level, the calculation gives 5.674 states/eV/f.u. The value obtained for the electronic total energy is -30.451 eV per atom.

***

No. 2
KW2Br at its PBEsol-relaxed geometry, computed with meta-GGA SCAN.

Cell and atoms, written as CIF:
```
data_KW2Br
_space_group_name_H-M_alt 'P 4/m m m'
_space_group_IT_number 123
_space_group_name_Hall '-P 4 2'
_cell_length_a 3.785
_cell_length_b 3.785
_cell_length_c 6.587
_cell_angle_alpha 90.00
_cell_angle_beta 90.00
_cell_angle_gamma 90.00
loop_
_atom_site_label
_atom_site_type_symbol
_atom_site_fract_x
_atom_site_fract_y
_atom_site_fract_z
K1 K 0.000 0.000 0.000
W1 W 0.000 0.500 0.500
Br1 Br 0.500 0.500 0.000
```

## Properties
For the calculated density, the calculation gives 8.6 g/cm3. Its excess energy over the best structure of this formula in the dataset is 0.752 eV/atom. Its crystal system is tetragonal. For the density of states at the Fermi level, the calculation gives 3.800 states/eV/f.u.

***

No. 3
SbTe2IrN at its PBEsol-relaxed geometry, computed with meta-GGA SCAN.

Cell and atoms, written as CIF:
```
data_SbTe2IrN
_space_group_name_H-M_alt 'P 4/m m m'
_space_group_IT_number 123
_space_group_name_Hall '-P 4 2'
_cell_length_a 5.321
_cell_length_b 5.321
_cell_length_c 4.980
_cell_angle_alpha 90.00
_cell_angle_beta 90.00
_cell_angle_gamma 90.00
loop_
_atom_site_label
_atom_site_type_symbol
_atom_site_fract_x
_atom_site_fract_y
_atom_site_fract_z
Sb1 Sb 0.000 0.000 0.000
Te1 Te 0.000 0.500 0.500
Ir1 Ir 0.000 0.000 0.500
N1 N 0.500 0.500 0.000
```

## Properties
For the calculated density, the calculation gives 6.9 g/cm3. Its crystal system is tetragonal. For the density of states at the Fermi level, the calculation gives 4.995 states/eV/f.u. The value obtained for the electronic total energy is -37.051 eV per atom.

***

No. 4
YSnF3 at its PBEsol-relaxed geometry, computed with meta-GGA SCAN.

Cell and atoms, written as CIF:
```
data_YSnF3
_space_group_name_H-M_alt 'P m -3 m'
_space_group_IT_number 221
_space_group_name_Hall '-P 4 2 3'
_cell_length_a 4.593
_cell_length_b 4.593
_cell_length_c 4.593
_cell_angle_alpha 90.00
_cell_angle_beta 90.00
_cell_angle_gamma 90.00
loop_
_atom_site_label
_atom_site_type_symbol
_atom_site_fract_x
_atom_site_fract_y
_atom_site_fract_z
Y1 Y 0.000 0.000 0.000
Sn1 Sn 0.500 0.500 0.500
F1 F 0.000 0.500 0.500
```

## Properties
For the calculated density, the calculation gives 4.5 g/cm3. Its crystal system is cubic. For the density of states at the Fermi level, the calculation gives 1.527 states/eV/f.u. The value obtained for the electronic total energy is -16.505 eV per atom.